No. 1
Material: Nd8Dy3Sc
Method: DFT, PBE
State: relaxed

Magnetic moment in μB per formula unit: 0.00
Energy in eV/cell: -51.66
SG: I-42m (121)
Formation energy in kJ/mol of formula units: 639
Calculated volume in Å³/cell: 441

```
Nd8Dy3Sc
1.0
-4.355 4.355 5.816
4.355 -4.355 5.816
4.355 4.355 -5.816
Nd Dy Sc
8 3 1
Direct
0.117 0.117 0.748
0.221 0.221 0.479
0.258 0.779 0.000
0.369 0.369 0.252
0.631 0.883 0.000
0.742 0.742 0.521
0.779 0.258 0.000
0.883 0.631 0.000
0.250 0.750 0.500
0.500 0.500 0.000
0.750 0.250 0.500
0.000 0.000 0.000
```

No. 2
Material: Nd3DySc6
Method: DFT, PBE
State: relaxed

Magnetic moment in μB per formula unit: 0.00
Energy in eV/cell: -109.21
SG: Cmc2_1 (36)
Formation energy in kJ/mol of formula units: 221
Calculated volume in Å³/cell: 583

```
Nd3DySc6
1.0
6.439 -6.855 0.000
6.439 6.855 0.000
0.000 0.000 6.604
Nd Dy Sc
6 2 12
Direct
0.096 0.904 0.500
0.255 0.332 0.774
0.332 0.255 0.274
0.668 0.745 0.774
0.745 0.668 0.274
0.904 0.096 0.000
0.306 0.694 0.302
0.694 0.306 0.802
0.001 0.772 0.990
0.020 0.448 0.102
0.228 0.999 0.990
0.291 0.709 0.798
0.448 0.020 0.602
0.492 0.508 0.038
0.508 0.492 0.538
0.552 0.980 0.102
0.709 0.291 0.298
0.772 0.001 0.490
0.980 0.552 0.602
0.999 0.228 0.490
```

No. 3
Material: Nd3Dy8Sc2
Method: DFT, PBE
State: relaxed

Magnetic moment in μB per formula unit: 0.00
Energy in eV/cell: -60.61
SG: C2/m (12)
Formation energy in kJ/mol of formula units: 307
Calculated volume in Å³/cell: 424

```
Nd3Dy8Sc2
1.0
9.774 -3.874 0.000
9.774 3.874 0.000
-0.003 0.000 5.602
Nd Dy Sc
3 8 2
Direct
0.000 0.000 0.000
0.293 0.707 0.500
0.707 0.293 0.500
0.137 0.137 0.500
0.178 0.594 0.000
0.321 0.321 0.499
0.406 0.822 0.000
0.594 0.178 0.000
0.679 0.679 0.501
0.822 0.406 0.000
0.863 0.863 0.500
0.241 0.241 0.999
0.759 0.759 0.001
```

No. 4
Material: Nd8DySc3
Method: DFT, PBE
State: relaxed

Magnetic moment in μB per formula unit: 0.00
Energy in eV/cell: -56.93
SG: Immm (71)
Formation energy in kJ/mol of formula units: 464
Calculated volume in Å³/cell: 423

```
Nd8DySc3
1.0
-3.390 5.413 5.763
3.390 -5.413 5.763
3.390 5.413 -5.763
Nd Dy Sc
8 1 3
Direct
0.083 0.248 0.835
0.213 0.277 0.489
0.213 0.723 0.936
0.412 0.248 0.165
0.588 0.752 0.835
0.787 0.277 0.064
0.787 0.723 0.511
0.917 0.752 0.165
0.500 0.500 0.000
0.000 0.000 0.000
0.213 0.713 0.500
0.787 0.287 0.500
```

No. 5
Material: Nd5Dy2Sc4
Method: DFT, PBE
State: relaxed

Magnetic moment in μB per formula unit: 0.00
Energy in eV/cell: -56.67
SG: Immm (71)
Formation energy in kJ/mol of formula units: 164
Calculated volume in Å³/cell: 349

```
Nd5Dy2Sc4
1.0
-1.727 4.411 11.445
1.727 -4.411 11.445
1.727 4.411 -11.445
Nd Dy Sc
5 2 4
Direct
0.000 0.000 0.000
0.062 0.358 0.703
0.345 0.642 0.703
0.655 0.358 0.297
0.938 0.642 0.297
0.270 0.770 0.500
0.730 0.230 0.500
0.325 0.500 0.825
0.407 0.907 0.500
0.593 0.093 0.500
0.675 0.500 0.175
```

No. 6
Material: Nd12DySc7
Method: DFT, PBE
State: relaxed

Magnetic moment in μB per formula unit: 0.00
Energy in eV/cell: -103.10
SG: R-3 (148)
Formation energy in kJ/mol of formula units: 293
Calculated volume in Å³/cell: 628

```
Nd12DySc7
1.0
7.449 4.300 3.266
-7.449 4.300 3.266
0.000 -8.601 3.266
Nd Dy Sc
12 1 7
Direct
0.062 0.295 0.410
0.205 0.675 0.374
0.295 0.410 0.062
0.325 0.626 0.795
0.374 0.205 0.675
0.410 0.062 0.295
0.590 0.938 0.705
0.626 0.795 0.325
0.675 0.374 0.205
0.705 0.590 0.938
0.795 0.325 0.626
0.938 0.705 0.590
0.000 0.000 0.000
0.000 0.102 0.685
0.000 0.898 0.315
0.102 0.685 0.000
0.315 0.000 0.898
0.500 0.500 0.500
0.685 0.000 0.102
0.898 0.315 0.000
```

No. 7
Material: Nd4Dy5Sc
Method: DFT, PBE
State: relaxed

Magnetic moment in μB per formula unit: 0.00
Energy in eV/cell: -47.26
SG: C2/m (12)
Offset from the most stable computed form in eV/atom: 0.000
Formation energy in kJ/mol of formula units: 111
Calculated volume in Å³/cell: 324

```
Nd4Dy5Sc
1.0
8.845 -1.740 0.000
8.845 1.740 0.000
-3.279 0.000 10.536
Nd Dy Sc
4 5 1
Direct
0.089 0.089 0.304
0.305 0.305 0.415
0.695 0.695 0.585
0.911 0.911 0.696
0.106 0.106 0.789
0.207 0.207 0.097
0.500 0.500 0.000
0.793 0.793 0.903
0.894 0.894 0.211
0.500 0.500 0.500
```

No. 8
Material: Nd2DySc2
Method: DFT, PBE
State: relaxed

Magnetic moment in μB per formula unit: 0.00
Energy in eV/cell: -51.90
SG: C2/c (15)
Offset from the most stable computed form in eV/atom: 0.003
Formation energy in kJ/mol of formula units: 82
Calculated volume in Å³/cell: 307

```
Nd2DySc2
1.0
4.825 -5.845 0.000
4.825 5.845 0.000
-2.800 0.000 5.446
Nd Dy Sc
4 2 4
Direct
0.070 0.626 0.811
0.374 0.930 0.689
0.626 0.070 0.311
0.930 0.374 0.189
0.450 0.550 0.250
0.550 0.450 0.750
0.096 0.202 0.711
0.202 0.096 0.211
0.798 0.904 0.789
0.904 0.798 0.289
```